Density functional theory data (PBE) for crystalline Mg2FeSb at its relaxed geometry.

Formation energy (no corrections) (eV per atom): 0.1297
DOS at the Fermi energy (states/eV/f.u.): 2.93
Energy relative to the lowest polymorph listed for this composition (eV/atom): 0.051
Total DFT energy (no corrections) (eV per atom): -3.814
Mass density (g/cm3): 4.9
Total magnetic moment (μB/cell): 2.38

Cell lengths 3.1731, 3.9906, 6.0705 Å; angles 90.00, 90.00, 90.00 degrees
With the nearest neighbours (Å) after each atom.
Space group Pmmm (No. 47)
Asymmetric unit:
Mg: 0.0000 0.0000 0.2244 [2 per cell]  1 Mg 2.72, 4 Fe 2.89, 4 Sb 3.05
Fe: 0.5000 0.5000 0.0000 [1 per cell]  8 Mg 2.89, 2 Sb 3.04, 2 Fe 3.17
Sb: 0.5000 0.5000 0.5000 [1 per cell]  2 Fe 3.04, 8 Mg 3.05, 2 Sb 3.17

---

Density functional theory data (PBE) for crystalline Mg2FeSb at its relaxed geometry.

Formation energy (no corrections) (eV per atom): 0.1892
DOS at the Fermi energy (states/eV/f.u.): 2.35
Energy relative to the lowest polymorph listed for this composition (eV/atom): 0.110
Total DFT energy (no corrections) (eV per atom): -3.754
Mass density (g/cm3): 4.6
Total magnetic moment (μB/cell): 4.10

Cell lengths 3.2305, 3.2305, 27.2948 Å; angles 90.00, 90.00, 120.00 degrees
With the nearest neighbours (Å) after each atom.
Space group R3m (No. 160, hexagonal axes)
Asymmetric unit:
Mg: 0.0000 0.0000 0.0000 [3 per cell]  9 Mg 3.23-3.25, 3 Sb 3.26
Mg: 0.0000 0.0000 0.2356 [3 per cell]  3 Fe 2.74
Fe: 0.0000 0.0000 0.4954 [3 per cell]  3 Sb 2.56, 3 Mg 2.74
Sb: 0.0000 0.0000 0.7644 [3 per cell]  3 Fe 2.56

---

Density functional theory data (PBE) for crystalline MgFe2Sb at its relaxed geometry.

Formation energy (no corrections) (eV per atom): 0.1684
DOS at the Fermi energy (states/eV/f.u.): 3.16
Total DFT energy (no corrections) (eV per atom): -5.492
Mass density (g/cm3): 6.5
Total magnetic moment (μB/cell): 8.00

Cell lengths 4.0402, 3.3175, 9.8437 Å; angles 90.00, 90.00, 90.00 degrees
With the nearest neighbours (Å) after each atom.
Space group Amm2 (No. 38)
Asymmetric unit:
Mg: 0.0000 0.0000 0.0000 [2 per cell]  7 Fe 2.72-2.77
Fe: 0.0000 0.0000 0.2816 [2 per cell]  2 Fe 2.37
Fe: 0.5000 0.0000 0.4073 [2 per cell]  2 Fe 2.37
Sb: 0.5000 0.0000 0.6891 [2 per cell]  7 Fe 2.71-2.77

---

Density functional theory data (PBE) for crystalline MgFe2Sb at its relaxed geometry.

Formation energy (no corrections) (eV per atom): 0.4442
DOS at the Fermi energy (states/eV/f.u.): 3.81
Total DFT energy (no corrections) (eV per atom): -5.216
Mass density (g/cm3): 6.4
Total magnetic moment (μB/cell): 12.90

Cell lengths 3.0395, 3.0395, 25.2642 Å; angles 90.00, 90.00, 120.00 degrees
With the nearest neighbours (Å) after each atom.
Space group R-3m (No. 166, hexagonal axes)
Asymmetric unit:
Mg: 0.0000 0.0000 0.0000 [3 per cell]  6 Fe 2.81, 6 Mg 3.04
Fe: 0.0000 0.0000 0.2466 [6 per cell]  3 Sb 2.68, 3 Mg 2.81
Sb: 0.0000 0.0000 0.5000 [3 per cell]  6 Fe 2.68

---

Density functional theory data (PBE) for crystalline MgFe2Sb at its relaxed geometry.

Formation energy (no corrections) (eV per atom): 0.1385
DOS at the Fermi energy (states/eV/f.u.): 3.41
Total DFT energy (no corrections) (eV per atom): -5.522
Mass density (g/cm3): 6.8
Total magnetic moment (μB/cell): 8.28

Cell lengths 9.5434, 3.4319, 4.2822 Å; angles 90.00, 116.28, 90.00 degrees
With the nearest neighbours (Å) after each atom.
Space group Cm (No. 8)
Asymmetric unit:
Mg: 0.0000 0.0000 0.0000 [2 per cell]  8 Fe 2.75-2.93, 4 Sb 2.88-2.91
Fe: 0.0265 0.5000 0.5269 [2 per cell]  2 Fe 2.45
Fe: 0.2312 0.0000 0.7329 [2 per cell]  2 Fe 2.45
Sb: 0.2750 0.5000 0.2769 [2 per cell]  8 Fe 2.75-3.03, 4 Mg 2.88-2.91

---

Density functional theory data (PBE) for crystalline MgFeSb at its relaxed geometry.

Formation energy (no corrections) (eV per atom): -0.0005
DOS at the Fermi energy (states/eV/f.u.): 1.48
Total DFT energy (no corrections) (eV per atom): -4.727
Mass density (g/cm3): 5.6
Total magnetic moment (μB/cell): 7.93

Cell lengths 5.8985, 12.5467, 3.2306 Å; angles 90.00, 90.00, 90.00 degrees
With the nearest neighbours (Å) after each atom.
Space group Cmmm (No. 65)
Asymmetric unit:
Mg: 0.0000 0.1219 0.0000 [4 per cell]  4 Fe 2.81, 3 Sb 2.96-2.98, 1 Mg 3.06
Fe: 0.2094 0.5000 0.5000 [4 per cell]  1 Fe 2.47, 4 Sb 2.70
Sb: 0.0000 0.3590 0.0000 [4 per cell]  4 Fe 2.70, 3 Mg 2.96-2.98

---

Density functional theory data (PBE) for crystalline MgFeSb at its relaxed geometry.

Formation energy (no corrections) (eV per atom): -0.0244
DOS at the Fermi energy (states/eV/f.u.): 1.68
Total DFT energy (no corrections) (eV per atom): -4.751
Mass density (g/cm3): 5.5
Total magnetic moment (μB/cell): 9.59

Cell lengths 4.2230, 9.1004, 6.2969 Å; angles 90.00, 90.00, 90.00 degrees
With the nearest neighbours (Å) after each atom.
Space group Ama2 (No. 40)
Asymmetric unit:
Mg: 0.2500 0.1240 0.0000 [4 per cell]  4 Fe 2.65-2.97, 3 Sb 2.88-2.89
Fe: 0.2500 0.4194 0.2001 [4 per cell]  2 Fe 2.57, 3 Mg 2.65-2.86, 4 Sb 2.69-2.84
Sb: 0.2500 0.1608 0.4540 [4 per cell]  4 Fe 2.69-2.84, 3 Mg 2.88-2.89

---

Density functional theory data (PBE) for crystalline MgFeSb4 at its relaxed geometry.

Formation energy (no corrections) (eV per atom): 0.6479
DOS at the Fermi energy (states/eV/f.u.): 6.13
Total DFT energy (no corrections) (eV per atom): -3.777
Mass density (g/cm3): 5.7
Total magnetic moment (μB/cell): 13.21

Cell lengths 8.7070, 8.7070, 8.7070 Å; angles 90.00, 90.00, 90.00 degrees
With the nearest neighbours (Å) after each atom.
Space group F-43m (No. 216)
Asymmetric unit:
Mg: 0.0000 0.0000 0.0000 [4 per cell]  12 Sb 3.61, 4 Fe 3.77
Fe: 0.2500 0.2500 0.2500 [4 per cell]  12 Sb 3.61, 4 Mg 3.77
Sb: 0.1249 0.1249 0.6249 [16 per cell]  6 Sb 3.08